No. 1
This record from OQMD describes a geometry-optimized SrPrPBr structure. The functional is PBE-GGA.

Geometry as POSCAR:
```
SrPrPBr
1.0
4.279 0.000 0.000
-2.139 3.706 0.000
0.000 0.000 22.279
Sr Pr P Br
3 3 3 3
direct
0.000 0.000 0.000 Sr
0.333 0.667 0.667 Sr
0.667 0.333 0.333 Sr
0.000 0.000 0.527 Pr
0.333 0.667 0.193 Pr
0.667 0.333 0.860 Pr
0.000 0.000 0.260 P
0.333 0.667 0.926 P
0.667 0.333 0.593 P
0.000 0.000 0.764 Br
0.333 0.667 0.431 Br
0.667 0.333 0.098 Br
```

Properties
Total magnetization = 0.00 μB/f.u.
DFT total energy = -4.872 eV/atom



No. 2
This record from OQMD describes a geometry-optimized K3PtBrF6 structure. The functional is PBE-GGA.

Geometry as POSCAR:
```
K3PtBrF6
1.0
7.968 0.000 0.000
0.000 7.968 0.000
0.000 0.000 5.873
K Pt Br F
6 2 2 12
direct
0.000 0.000 0.000 K
0.170 0.330 0.500 K
0.330 0.830 0.500 K
0.500 0.500 0.000 K
0.670 0.170 0.500 K
0.830 0.670 0.500 K
0.000 0.500 0.000 Pt
0.500 0.000 0.000 Pt
0.000 0.000 0.500 Br
0.500 0.500 0.500 Br
0.118 0.618 0.248 F
0.118 0.618 0.752 F
0.175 0.325 0.000 F
0.325 0.825 0.000 F
0.382 0.118 0.248 F
0.382 0.118 0.752 F
0.618 0.882 0.248 F
0.618 0.882 0.752 F
0.675 0.175 0.000 F
0.825 0.675 0.000 F
0.882 0.382 0.248 F
0.882 0.382 0.752 F
```

Properties
Total magnetization = 0.00 μB/f.u.
DFT total energy = -4.023 eV/atom



No. 3
This record from OQMD describes a geometry-optimized Nd2Si2MoWC structure. The functional is PBE-GGA.

Geometry as POSCAR:
```
Nd2Si2MoWC
1.0
11.218 0.000 0.000
0.000 3.937 0.000
-4.283 0.000 5.951
Nd Si Mo W C
4 4 2 2 2
direct
0.000 0.000 0.000 Nd
0.152 0.000 0.601 Nd
0.500 0.500 0.000 Nd
0.652 0.500 0.601 Nd
0.210 0.500 0.973 Si
0.441 0.000 0.628 Si
0.710 0.000 0.973 Si
0.941 0.500 0.628 Si
0.370 0.000 0.220 Mo
0.870 0.500 0.220 Mo
0.283 0.500 0.380 W
0.783 0.000 0.380 W
0.078 0.500 0.301 C
0.578 0.000 0.301 C
```

Properties
Total magnetization = 0.01 μB/f.u.
DFT total energy = -8.136 eV/atom



No. 4
This record from OQMD describes a geometry-optimized Ta3TlN5 structure. The functional is PBE-GGA.

Geometry as POSCAR:
```
Ta3TlN5
1.0
5.423 0.000 0.000
-2.711 4.696 0.000
0.000 0.000 6.011
Ta Tl N
3 1 5
direct
0.000 0.500 0.000 Ta
0.500 0.000 0.000 Ta
0.500 0.500 0.000 Ta
0.000 0.000 0.500 Tl
0.000 0.000 0.000 N
0.333 0.667 0.224 N
0.333 0.667 0.776 N
0.667 0.333 0.224 N
0.667 0.333 0.776 N
```

Properties
Total magnetization = 0.00 μB/f.u.
DFT total energy = -8.591 eV/atom



Repeat the first record exactly.
This record from OQMD describes a geometry-optimized SrPrPBr structure. The functional is PBE-GGA.

Geometry as POSCAR:
```
SrPrPBr
1.0
4.279 0.000 0.000
-2.139 3.706 0.000
0.000 0.000 22.279
Sr Pr P Br
3 3 3 3
direct
0.000 0.000 0.000 Sr
0.333 0.667 0.667 Sr
0.667 0.333 0.333 Sr
0.000 0.000 0.527 Pr
0.333 0.667 0.193 Pr
0.667 0.333 0.860 Pr
0.000 0.000 0.260 P
0.333 0.667 0.926 P
0.667 0.333 0.593 P
0.000 0.000 0.764 Br
0.333 0.667 0.431 Br
0.667 0.333 0.098 Br
```

Properties
Total magnetization = 0.00 μB/f.u.
DFT total energy = -4.872 eV/atom



Q: Number 2 is which compound?
A: K3PtBrF6



Q: Which of these has the highest DFT total energy?
A: K3PtBrF6



Q: The highest total magnetization belongs to which entry?
A: Nd2Si2MoWC